# 1
This record from Alexandria describes TlZnTc4 after structural relaxation. The functional is PBE-GGA.

Unit cell a=5.2208 b=5.2208 c=5.2208 alpha=60.00 beta=60.00 gamma=60.00
Sites, in units of the cell vectors:
1 Tc 0.6254 0.6254 0.1239
2 Tc 0.6254 0.6254 0.6254
3 Tc 0.6254 0.1239 0.6254
4 Tc 0.1239 0.6254 0.6254
5 Zn 0.0000 0.0000 0.0000
6 Tl 0.2500 0.2500 0.2500

V ... 101 Å³ per cell
Fermi-level density of states ... 6.10 states/eV/cell
Final energy ... -6.939 eV per atom
Calculated formation energy ... 0.5787 eV per atom



# 2
This record from Alexandria describes TlZnTc2 after structural relaxation. The functional is PBE-GGA.

Unit cell a=4.8393 b=4.8393 c=4.9553 alpha=78.88 beta=78.88 gamma=36.40
Sites, in units of the cell vectors:
1 Tc 0.4947 0.4947 0.5425
2 Tc 0.0053 0.0053 0.9575
3 Tl 0.2500 0.2500 0.2500
4 Zn 0.7500 0.7500 0.7500

V ... 67 Å³ per cell
Fermi-level density of states ... 4.18 states/eV/cell
Final energy ... -5.587 eV per atom
Energy above the lowest structure with this stoichiometry ... 286.2 meV per atom
Calculated formation energy ... 0.5060 eV per atom



# 3
This record from Alexandria describes TlZnTc2 after structural relaxation. The functional is PBE-GGA.

Unit cell a=4.6452 b=3.1263 c=4.9941 alpha=91.98 beta=90.00 gamma=90.00
Sites, in units of the cell vectors:
1 Tc 0.0000 0.0427 0.9386
2 Tc 0.0000 0.4573 0.5614
3 Tl 0.5000 0.2500 0.2500
4 Zn 0.5000 0.7500 0.7500

V ... 72 Å³ per cell
Fermi-level density of states ... 2.73 states/eV/cell
Final energy ... -5.555 eV per atom
Energy above the lowest structure with this stoichiometry ... 318.6 meV per atom
Calculated formation energy ... 0.5385 eV per atom



# 4
This record from Alexandria describes Tl2ZnTc after structural relaxation. The functional is PBE-GGA.

Unit cell a=3.0957 b=3.0957 c=8.9142 alpha=90.00 beta=90.00 gamma=90.00
Sites, in units of the cell vectors:
1 Zn 0.5000 0.5000 0.2500
2 Tl 0.0000 0.0000 0.9795
3 Tl 0.0000 0.0000 0.5205
4 Tc 0.5000 0.5000 0.7500

V ... 85 Å³ per cell
Fermi-level density of states ... 3.31 states/eV/cell
Final energy ... -3.425 eV per atom
Energy above the lowest structure with this stoichiometry ... 216.0 meV per atom
Calculated formation energy ... 0.6678 eV per atom